Crystalline TlPdRhSe3 at its relaxed geometry, computed with PBE.

Cell: 6.922 6.922 10.436 Å, 90.00 90.00 148.62°
Fractional positions:
Tl  0.221  0.779  0.750
Tl  0.779  0.221  0.250
Pd  0.119  0.881  0.250
Pd  0.881  0.119  0.750
Rh  0.500  0.500  0.000
Rh  0.500  0.500  0.500
Se  0.125  0.875  0.011
Se  0.125  0.875  0.489
Se  0.480  0.520  0.250
Se  0.520  0.480  0.750
Se  0.875  0.125  0.511
Se  0.875  0.125  0.989

## Properties
ΔE_f (raw) in kcal/mol of atoms: -6.67
Symmetry: No. 63
Size of the total moment in μB per formula unit: 0.00
Theoretical density in Mg/m³: 8.3